Version i
Rb2HfZr after structural relaxation. Source: the Alexandria database, functional PBE.

Output
Space group   Fm-3m

```
Rb2HfZr
1.0
3.088 -4.422 2.240
1.712 0.167 5.581
-2.444 -3.582 3.912
Hf Rb Zr
1 2 1
Cartesian
1.178 -3.918 5.867
1.767 -5.878 8.800
0.589 -1.959 2.933
0.000 0.000 0.000
```


Version ii
Rb2HfZr after structural relaxation. Source: the Alexandria database, functional PBE.

Output
Space group   I-42d

```
Rb2HfZr
1.0
13.475 0.000 0.000
0.000 13.475 0.000
6.738 6.738 2.582
Rb Hf Zr
4 2 2
Cartesian
16.844 14.974 1.937
10.106 11.976 1.937
5.238 10.106 0.646
8.237 3.369 0.646
0.000 0.000 0.000
13.475 6.738 1.291
6.738 6.738 0.000
6.738 13.475 1.291
```


Which of them is most stable, and which least? Most stable: version ii; least stable: version i.


Version i
Rb2Hf2Zr after structural relaxation. Source: the Alexandria database, functional PBE.

Output
Space group   I4/mmm

```
Rb2Hf2Zr
1.0
4.199 0.000 0.000
0.000 4.199 0.000
2.100 2.100 8.974
Hf Rb Zr
2 2 1
Cartesian
2.100 2.100 1.333
4.199 4.199 7.641
2.100 4.199 4.487
4.199 2.100 4.487
0.000 0.000 0.000
```


Version ii
Rb2Hf2Zr after structural relaxation. Source: the Alexandria database, functional PBE.

Output
Space group   P4/mbm

```
Rb2Hf2Zr
1.0
-6.384 -8.413 -1.727
4.576 -5.153 8.187
-2.063 1.177 1.894
Rb Zr Hf
4 2 4
Cartesian
-4.763 -7.661 2.008
-1.862 -9.430 6.268
0.891 -4.728 6.345
-2.010 -2.960 2.086
-0.904 -6.783 3.230
0.000 0.000 0.000
-3.359 -5.455 -0.269
1.550 -8.111 6.728
-3.087 -10.689 3.279
1.279 -2.877 3.181
```


Which of them is most stable, and which least? Most stable: version i; least stable: version ii.


Version i
Hf2ReRh after structural relaxation. Source: the Alexandria database, functional PBE.

Output
Space group   P4/mmm

```
Hf2ReRh
1.0
-3.173 0.379 -0.756
-0.272 -3.237 -0.480
-1.581 -0.791 6.236
Hf Rh Re
2 1 1
Cartesian
-1.192 -0.597 4.702
-0.389 -0.195 1.534
-2.513 -1.825 2.500
-1.723 -1.429 -0.618
```


Version ii
Hf2ReRh after structural relaxation. Source: the Alexandria database, functional PBE.

Output
Space group   Fm-3m

```
Hf2ReRh
1.0
0.000 3.268 3.268
3.268 0.000 3.268
3.268 3.268 0.000
Rh Hf Re
1 2 1
Cartesian
0.000 0.000 0.000
1.634 1.634 1.634
4.902 4.902 4.902
3.268 3.268 3.268
```


Which of them is most stable, and which least? Most stable: version i; least stable: version ii.


Version i
Hf4ReRh after structural relaxation. Source: the Alexandria database, functional PBE.

Output
Space group   P4/mmm

```
Hf4ReRh
1.0
3.315 -0.001 0.000
0.001 3.315 0.000
0.000 0.000 10.341
Hf Re Rh
4 1 1
Cartesian
3.315 3.314 6.757
1.658 1.657 1.574
1.657 1.656 8.768
0.000 0.000 3.585
0.000 0.000 0.000
1.657 1.657 5.171
```


Version ii
Hf4ReRh after structural relaxation. Source: the Alexandria database, functional PBE.

Output
Space group   I4_1/amd

```
Hf4ReRh
1.0
6.404 0.000 0.000
0.000 6.404 0.000
-3.202 -3.202 6.420
Hf Rh Re
8 2 2
Cartesian
1.614 1.601 4.815
1.614 -1.601 4.815
1.601 4.816 1.605
-1.614 -1.601 4.815
-1.614 1.601 4.815
1.601 1.587 1.605
4.803 1.587 1.605
4.803 4.816 1.605
0.000 3.202 3.210
3.202 3.202 0.000
0.000 0.000 0.000
3.202 0.000 3.210
```


Which of them is most stable, and which least? Most stable: version i; least stable: version ii.


Version i
HfRe2Rh2 after structural relaxation. Source: the Alexandria database, functional PBE.

Output
Space group   I4/mmm

```
HfRe2Rh2
1.0
-0.432 3.137 1.695
-3.498 -0.043 -0.812
-3.231 -1.667 6.068
Rh Re Hf
2 2 1
Cartesian
-4.951 0.503 5.418
-2.211 0.923 1.533
-2.814 1.508 4.102
-4.347 -0.082 2.849
0.000 0.000 0.000
```


Version ii
HfRe2Rh2 after structural relaxation. Source: the Alexandria database, functional PBE.

Output
Space group   P4/mbm

```
HfRe2Rh2
1.0
7.654 0.000 0.000
0.000 7.654 0.000
0.000 0.000 2.745
Re Hf Rh
4 2 4
Cartesian
1.340 5.167 1.373
6.314 2.487 1.373
5.167 6.314 1.373
2.487 1.340 1.373
3.827 3.827 0.000
0.000 0.000 0.000
4.761 0.934 0.000
0.934 2.893 0.000
2.893 6.720 0.000
6.720 4.761 0.000
```


Which of them is most stable, and which least? Most stable: version ii; least stable: version i.


Version i
HfRe2TeRh after structural relaxation. Source: the Alexandria database, functional PBE.

Output
Space group   P4/mmm

```
HfRe2TeRh
1.0
-2.135 -3.083 3.027
1.730 -3.704 -2.553
3.827 -0.043 2.656
Rh Te Re Hf
1 1 2 1
Cartesian
1.913 -0.021 1.328
0.000 0.000 0.000
0.865 -1.852 -1.276
-1.068 -1.542 1.514
1.711 -3.415 1.565
```


Version ii
HfRe2TeRh after structural relaxation. Source: the Alexandria database, functional PBE.

Output
Space group   P4/mmm

```
HfRe2TeRh
1.0
-0.077 4.747 1.223
-3.640 -0.875 3.166
3.197 -0.836 3.446
Hf Rh Re Te
1 1 2 1
Cartesian
0.000 0.000 0.000
1.599 -0.418 1.723
-1.820 -0.438 1.583
-0.039 2.374 0.612
-0.260 1.518 3.917
```


Which of them is most stable, and which least? Most stable: version i; least stable: version ii.


Version i
HfTiReRh after structural relaxation. Source: the Alexandria database, functional PBE.

Output
Space group   F-43m

```
HfTiReRh
1.0
4.515 0.000 0.000
2.258 3.910 0.000
2.258 1.303 3.687
Rh Ti Re Hf
1 1 1 1
Cartesian
4.515 2.607 1.843
2.258 1.303 0.922
0.000 0.000 0.000
6.773 3.910 2.765
```


Version ii
HfTiReRh after structural relaxation. Source: the Alexandria database, functional PBE.

Output
Space group   P4mm

```
HfTiReRh
1.0
-2.083 0.107 2.432
-2.200 -1.451 -1.821
2.062 -5.657 2.015
Re Rh Ti Hf
1 1 1 1
Cartesian
-1.893 -1.353 0.548
-0.904 -4.066 1.515
0.719 -1.973 0.703
1.771 -4.857 1.730
```


Which of them is most stable, and which least? Most stable: version ii; least stable: version i.


Version i
HfRe3Ru after structural relaxation. Source: the Alexandria database, functional PBE.

Output
Space group   Pm-3m

```
HfRe3Ru
1.0
-4.120 -1.774 -1.182
2.094 -2.887 -2.967
0.399 -3.168 3.365
Re Hf Ru
3 1 1
Cartesian
-2.060 -0.887 -0.591
1.047 -1.443 -1.483
0.200 -1.584 1.682
-0.813 -3.915 -0.392
0.000 0.000 0.000
```


Version ii
HfRe3Ru after structural relaxation. Source: the Alexandria database, functional PBE.

Output
Space group   Pm-3m

```
HfRe3Ru
1.0
-4.573 0.950 0.219
-0.532 -1.547 -4.380
-0.818 -4.309 1.621
Re Ru Hf
3 1 1
Cartesian
-0.409 -2.154 0.811
-0.266 -0.774 -2.190
-2.286 0.475 0.110
-2.961 -2.453 -1.270
0.000 0.000 0.000
```


Which of them is most stable, and which least? Most stable: version i; least stable: version ii.


Version i
HfReRu3 after structural relaxation. Source: the Alexandria database, functional PBE.

Output
Space group   Pm-3m

```
HfReRu3
1.0
-0.030 -1.896 -4.200
-0.447 -4.180 1.890
-4.587 0.420 -0.157
Ru Hf Re
3 1 1
Cartesian
-0.224 -2.090 0.945
-2.293 0.210 -0.078
-0.015 -0.948 -2.100
0.000 0.000 0.000
-2.532 -2.828 -1.234
```


Version ii
HfReRu3 after structural relaxation. Source: the Alexandria database, functional PBE.

Output
Space group   Pm-3m

```
HfReRu3
1.0
4.635 0.000 0.000
0.000 4.635 0.000
0.000 0.000 4.635
Ru Re Hf
3 1 1
Cartesian
0.000 0.000 2.317
0.000 2.317 0.000
2.317 0.000 0.000
0.000 0.000 0.000
2.317 2.317 2.317
```


Which of them is most stable, and which least? Most stable: version ii; least stable: version i.


Version i
HfTiReRu after structural relaxation. Source: the Alexandria database, functional PBE.

Output
Space group   P4mm

```
HfTiReRu
1.0
-2.881 -0.748 -1.111
0.199 -2.845 1.401
-2.666 2.416 5.285
Ti Hf Ru Re
1 1 1 1
Cartesian
-0.950 0.861 1.883
-2.279 2.066 4.518
-2.933 -0.353 3.301
-1.660 -1.507 0.778
```


Version ii
HfTiReRu after structural relaxation. Source: the Alexandria database, functional PBE.

Output
Space group   F-43m

```
HfTiReRu
1.0
4.498 0.000 0.000
2.249 3.895 0.000
2.249 1.298 3.673
Hf Ru Ti Re
1 1 1 1
Cartesian
6.747 3.895 2.754
0.000 0.000 0.000
2.249 1.298 0.918
4.498 2.597 1.836
```


Which of them is most stable, and which least? Most stable: version i; least stable: version ii.


Version i
HfZrReRu after structural relaxation. Source: the Alexandria database, functional PBE.

Output
Space group   P4mm

```
HfZrReRu
1.0
3.269 0.000 0.000
0.000 3.269 0.000
0.000 0.000 6.578
Ru Hf Re Zr
1 1 1 1
Cartesian
0.000 0.000 5.658
1.635 1.635 0.700
0.000 0.000 2.332
1.635 1.635 3.992
```


Version ii
HfZrReRu after structural relaxation. Source: the Alexandria database, functional PBE.

Output
Space group   F-43m

```
HfZrReRu
1.0
-3.667 2.714 -0.774
-3.311 -1.364 -2.931
-4.162 -1.217 1.616
Ru Re Zr Hf
1 1 1 1
Cartesian
-2.785 0.033 -0.522
-8.355 0.100 -1.566
-5.570 0.066 -1.044
0.000 0.000 0.000
```


Which of them is most stable, and which least? Most stable: version i; least stable: version ii.


Version i
HfReS3 after structural relaxation. Source: the Alexandria database, functional PBE.

Output
Space group   Pm-3m

```
HfReS3
1.0
-3.190 -0.627 3.243
2.896 -2.699 2.326
1.589 3.661 2.270
S Re Hf
3 1 1
Cartesian
0.795 1.831 1.135
-1.595 -0.313 1.622
1.448 -1.350 1.163
0.000 0.000 0.000
0.648 0.167 3.920
```


Version ii
HfReS3 after structural relaxation. Source: the Alexandria database, functional PBE.

Output
Space group   Pm-3m

```
HfReS3
1.0
-2.745 -2.591 3.133
3.141 1.048 3.619
-2.581 4.031 1.073
S Re Hf
3 1 1
Cartesian
-1.373 -1.296 1.566
1.570 0.524 1.810
-1.290 2.016 0.536
-1.093 1.244 3.912
0.000 0.000 0.000
```


Which of them is most stable, and which least? Most stable: version i; least stable: version ii.


Version i
HfSc3Re after structural relaxation. Source: the Alexandria database, functional PBE.

Output
Space group   Pm-3m

```
HfSc3Re
1.0
-2.116 0.077 -4.510
3.916 -2.442 -1.879
-2.239 -4.342 0.977
Sc Hf Re
3 1 1
Cartesian
1.958 -1.221 -0.939
-1.058 0.038 -2.255
-1.120 -2.171 0.488
0.000 0.000 0.000
-0.220 -3.354 -2.706
```


Version ii
HfSc3Re after structural relaxation. Source: the Alexandria database, functional PBE.

Output
Space group   Pm-3m

```
HfSc3Re
1.0
5.008 0.000 0.000
0.000 5.008 0.000
0.000 0.000 5.008
Sc Re Hf
3 1 1
Cartesian
2.504 0.000 0.000
0.000 0.000 2.504
0.000 2.504 0.000
0.000 0.000 0.000
2.504 2.504 2.504
```


Which of them is most stable, and which least? Most stable: version ii; least stable: version i.


Version i
Hf2ZrScRe after structural relaxation. Source: the Alexandria database, functional PBE.

Output
Space group   P4/mmm

```
Hf2ZrScRe
1.0
-3.117 3.510 1.116
-1.617 -0.025 -4.439
-3.292 -3.311 1.218
Hf Zr Re Sc
2 1 1 1
Cartesian
-1.559 1.755 0.558
-1.646 -1.655 0.609
-0.809 -0.012 -2.220
-4.013 0.087 -1.053
0.000 0.000 0.000
```


Version ii
Hf2ZrScRe after structural relaxation. Source: the Alexandria database, functional PBE.

Output
Space group   P4/mmm

```
Hf2ZrScRe
1.0
-4.736 0.410 -1.644
1.554 -0.786 -4.672
-0.644 -4.950 0.618
Re Hf Sc Zr
1 2 1 1
Cartesian
0.000 0.000 0.000
-2.368 0.205 -0.822
-0.322 -2.475 0.309
0.777 -0.393 -2.336
-1.913 -2.663 -2.849
```


Which of them is most stable, and which least? Most stable: version ii; least stable: version i.